1.
A plane-wave DFT calculation with PBE was carried out for Ac2TmCd after structural relaxation.

Geometry as CIF:
```
data_Ac2TmCd
_chemical_formula_sum 'Ac6 Tm3 Cd3'
_symmetry_space_group_name_H-M 'R -3 m'
_symmetry_Int_Tables_number 166
_symmetry_space_group_name_Hall '-R 3 2"'
_cell_length_a 3.7567
_cell_length_b 3.7567
_cell_length_c 38.5370
_cell_angle_alpha 90.00
_cell_angle_beta 90.00
_cell_angle_gamma 120.00
loop_
_atom_site_label
_atom_site_fract_x
_atom_site_fract_y
_atom_site_fract_z
Ac1 0.0000 0.0000 0.0902
Tm1 0.0000 0.0000 0.5000
Cd1 0.0000 0.0000 0.0000
```

## Properties
- Total energy: -38.336 eV per cell
- Crystal system: trigonal
- V: 39.25 Å³/atom
- Energy relative to the elements: 0.21 eV/atom
- Polymorph energy (0 for the lowest one): 0.300 eV/atom

2.
A plane-wave DFT calculation with PBE was carried out for YOs2Pb2 after structural relaxation.

Geometry as CIF:
```
data_YOs2Pb2
_chemical_formula_sum 'Y2 Os4 Pb4'
_symmetry_space_group_name_H-M 'I 4/m m m'
_symmetry_Int_Tables_number 139
_symmetry_space_group_name_Hall '-I 4 2'
_cell_length_a 4.6914
_cell_length_b 4.6914
_cell_length_c 10.5851
_cell_angle_alpha 90.00
_cell_angle_beta 90.00
_cell_angle_gamma 90.00
loop_
_atom_site_label
_atom_site_fract_x
_atom_site_fract_y
_atom_site_fract_z
Y1 0.0000 0.0000 0.0000
Os1 0.0000 0.0000 0.3901
Pb1 0.0000 0.5000 0.2500
```

## Properties
- Total energy: -68.788 eV per cell
- Crystal system: tetragonal
- V: 23.30 Å³/atom
- Energy relative to the elements: 0.39 eV/atom
- Polymorph energy (0 for the lowest one): 0.000 eV/atom

3.
A plane-wave DFT calculation with PBE was carried out for Fe2GeHRu after structural relaxation.

Geometry as CIF:
```
data_Fe2GeHRu
_chemical_formula_sum 'Fe2 Ge1 H1 Ru1'
_symmetry_space_group_name_H-M 'P 4/m m m'
_symmetry_Int_Tables_number 123
_symmetry_space_group_name_Hall '-P 4 2'
_cell_length_a 3.7070
_cell_length_b 3.7070
_cell_length_c 3.9293
_cell_angle_alpha 90.00
_cell_angle_beta 90.00
_cell_angle_gamma 90.00
loop_
_atom_site_label
_atom_site_fract_x
_atom_site_fract_y
_atom_site_fract_z
Fe1 0.0000 0.5000 0.0000
Ge1 0.0000 0.0000 0.5000
H1 0.5000 0.5000 0.0000
Ru1 0.5000 0.5000 0.5000
```

## Properties
- Total energy: -34.301 eV per cell
- Crystal system: tetragonal
- V: 10.80 Å³/atom

no.,magnetization (μB per cell)
1,0.00
2,0.00
3,5.04